Record 1
Compound: Dy4ZnPSe2
Source: Alexandria
Functional: PBE
Structure: optimized geometry Values from VASP.

```
&SYSTEM
  ibrav = 0, nat = 8, ntyp = 4
/
ATOMIC_SPECIES
Dy 162.50 Dy.upf
Zn 65.41 Zn.upf
P 30.97 P.upf
Se 78.96 Se.upf
CELL_PARAMETERS angstrom
4.0035 0.0000 0.0000
0.0000 7.0626 0.1569
0.0000 -2.4359 6.7125
ATOMIC_POSITIONS crystal
Dy 0.5000 0.2384 0.2357
Dy 0.5000 0.7616 0.7643
Dy 0.0000 0.2458 0.7546
Dy 0.0000 0.7542 0.2454
Zn 0.5000 0.5000 0.0000
P 0.0000 0.0000 0.0000
Se 0.5000 0.0000 0.5000
Se 0.0000 0.5000 0.5000
```

Output
For the density of states at the Fermi level, the calculation gives 5.2 states/eV per cell. The size of the total moment comes out at 0.00 μB per formula unit. The value obtained for the formation energy from raw total energies is -1.35 eV/atom. The volume is 23.92 Å³ per atom.

Record 2
Compound: Li5SnP4O14
Source: Alexandria
Functional: PBE
Structure: optimized geometry Values from VASP.

```
&SYSTEM
  ibrav = 0, nat = 48, ntyp = 4
/
ATOMIC_SPECIES
Li 6.94 Li.upf
Sn 118.71 Sn.upf
P 30.97 P.upf
O 16.00 O.upf
CELL_PARAMETERS angstrom
-5.7838 -3.8136 0.6924
1.7735 -6.7295 5.5064
-3.7692 3.4376 8.2408
ATOMIC_POSITIONS crystal
Li 0.3338 0.2091 0.2388
Li 0.2698 0.2573 0.5693
Li 0.7604 0.2650 0.0842
Li 0.0518 0.5212 0.1236
Li 0.4495 0.4711 0.3704
Li 0.5505 0.5289 0.6296
Li 0.9482 0.4788 0.8764
Li 0.2396 0.7350 0.9158
Li 0.7302 0.7427 0.4307
Li 0.6662 0.7909 0.7612
Sn 0.8705 0.1412 0.7438
Sn 0.1295 0.8588 0.2562
P 0.1868 0.1160 0.9635
P 0.6981 0.1187 0.4416
P 0.4136 0.3551 0.9231
P 0.9050 0.3720 0.4172
P 0.0950 0.6280 0.5828
P 0.5864 0.6449 0.0769
P 0.3019 0.8813 0.5584
P 0.8132 0.8840 0.0365
O 0.2083 0.0385 0.6231
O 0.1611 0.1106 0.1275
O 0.7664 0.0426 0.0871
O 0.6876 0.0931 0.6051
O 0.9957 0.2415 0.9062
O 0.4917 0.2202 0.3993
O 0.3737 0.1920 0.8923
O 0.0874 0.3927 0.3064
O 0.4675 0.3264 0.0710
O 0.8592 0.2198 0.3714
O 0.5955 0.3657 0.8002
O 0.9615 0.3199 0.5686
O 0.2178 0.4942 0.9117
O 0.2939 0.4902 0.5770
O 0.7061 0.5098 0.4230
O 0.7822 0.5058 0.0883
O 0.0385 0.6801 0.4314
O 0.4045 0.6343 0.1998
O 0.1408 0.7802 0.6286
O 0.5325 0.6736 0.9290
O 0.9126 0.6073 0.6936
O 0.6263 0.8080 0.1077
O 0.5083 0.7798 0.6007
O 0.0043 0.7585 0.0938
O 0.3124 0.9069 0.3949
O 0.2336 0.9574 0.9129
O 0.8389 0.8894 0.8725
O 0.7917 0.9615 0.3769
```

Output
For the density of states at the Fermi level, the calculation gives 5.9 states/eV per cell. The size of the total moment comes out at 0.00 μB per formula unit. The value obtained for the formation energy from raw total energies is -2.17 eV/atom. The volume is 11.50 Å³ per atom.

Record 3
Compound: CdBi2PtW
Source: Alexandria
Functional: PBE
Structure: optimized geometry Values from VASP.

```
&SYSTEM
  ibrav = 0, nat = 5, ntyp = 4
/
ATOMIC_SPECIES
W 183.84 W.upf
Bi 208.98 Bi.upf
Pt 195.08 Pt.upf
Cd 112.41 Cd.upf
CELL_PARAMETERS angstrom
-3.2640 -3.4735 -2.4941
-1.3829 -1.8716 4.4162
-4.0081 3.5786 0.2615
ATOMIC_POSITIONS crystal
W 0.0000 0.0000 0.0000
Bi 0.0000 0.0000 0.5000
Bi 0.5000 0.0000 0.0000
Pt 0.0000 0.5000 0.0000
Cd 0.5000 0.5000 0.5000
```

Output
For the density of states at the Fermi level, the calculation gives 4.0 states/eV per cell. The size of the total moment comes out at 0.00 μB per formula unit. The volume is 28.89 Å³ per atom. Its energy of formation from the pure elements is 0.80 eV per atom.

Record 4
Compound: AcLa2Tb
Source: Alexandria
Functional: PBE
Structure: optimized geometry Values from VASP.

```
&SYSTEM
  ibrav = 0, nat = 4, ntyp = 3
/
ATOMIC_SPECIES
Ac 227.00 Ac.upf
Tb 158.93 Tb.upf
La 138.91 La.upf
CELL_PARAMETERS angstrom
-2.7138 1.5187 4.3206
-0.2020 -5.0232 1.6387
4.5444 0.6714 2.6183
ATOMIC_POSITIONS crystal
Ac 0.5000 0.0000 0.0000
Tb 0.5000 0.5000 0.5000
La 0.0000 0.0000 0.5000
La 0.0000 0.5000 0.0000
```

Output
For the density of states at the Fermi level, the calculation gives 5.6 states/eV per cell. The size of the total moment comes out at 0.00 μB per formula unit. Its polymorph energy (0 for the lowest one) is 0.0 meV per atom. The volume is 37.21 Å³ per atom. Its energy of formation from the pure elements is 0.02 eV per atom.

Record 5
Compound: CeEuHo2
Source: Alexandria
Functional: PBE
Structure: optimized geometry Values from VASP.

```
&SYSTEM
  ibrav = 0, nat = 4, ntyp = 3
/
ATOMIC_SPECIES
Eu 151.96 Eu.upf
Ho 164.93 Ho.upf
Ce 140.12 Ce.upf
CELL_PARAMETERS angstrom
5.7389 0.0000 0.0000
2.8694 4.9700 0.0000
2.8694 1.6567 4.6858
ATOMIC_POSITIONS crystal
Eu 0.0000 0.0000 0.0000
Ho 0.2500 0.2500 0.2500
Ho 0.7500 0.7500 0.7500
Ce 0.5000 0.5000 0.5000
```

Output
For the density of states at the Fermi level, the calculation gives 9.8 states/eV per cell. The size of the total moment comes out at 5.86 μB per formula unit. Its polymorph energy (0 for the lowest one) is 69.8 meV per atom. The volume is 33.41 Å³ per atom. Its energy of formation from the pure elements is 0.23 eV per atom.

Record 6
Compound: Cr4GeSe8
Source: Alexandria
Functional: PBE
Structure: optimized geometry Values from VASP.

```
&SYSTEM
  ibrav = 0, nat = 13, ntyp = 3
/
ATOMIC_SPECIES
Cr 52.00 Cr.upf
Ge 72.64 Ge.upf
Se 78.96 Se.upf
CELL_PARAMETERS angstrom
6.5170 0.0000 2.9720
2.5808 5.9842 2.9720
0.4131 0.2717 7.7254
ATOMIC_POSITIONS crystal
Cr 0.0000 0.5000 0.0000
Cr 0.5000 0.5000 0.0000
Cr 0.5000 0.0000 0.0000
Cr 0.0000 0.0000 0.0000
Ge 0.5000 0.5000 0.5000
Se 0.7379 0.2418 0.7786
Se 0.7582 0.2621 0.2214
Se 0.2621 0.7582 0.2214
Se 0.7582 0.7582 0.2214
Se 0.7399 0.7399 0.7803
Se 0.2601 0.2601 0.2197
Se 0.2418 0.2418 0.7786
Se 0.2418 0.7379 0.7786
```

Output
For the density of states at the Fermi level, the calculation gives 6.7 states/eV per cell. The size of the total moment comes out at 10.23 μB per formula unit. The value obtained for the formation energy from raw total energies is -0.43 eV/atom. The volume is 22.37 Å³ per atom.

Record 7
Compound: Pa2Co4Si3Tc
Source: Alexandria
Functional: PBE
Structure: optimized geometry Values from VASP.

```
&SYSTEM
  ibrav = 0, nat = 10, ntyp = 4
/
ATOMIC_SPECIES
Pa 231.04 Pa.upf
Co 58.93 Co.upf
Si 28.09 Si.upf
Tc 98.00 Tc.upf
CELL_PARAMETERS angstrom
3.9193 0.0000 0.0000
0.0000 3.9193 0.0000
0.0000 0.0000 9.7179
ATOMIC_POSITIONS crystal
Pa 0.5000 0.0000 0.2392
Pa 0.0000 0.5000 0.7608
Co 0.5000 0.5000 0.0000
Co 0.0000 0.0000 0.0000
Co 0.5000 0.0000 0.6370
Co 0.0000 0.5000 0.3630
Si 0.0000 0.0000 0.5000
Si 0.5000 0.0000 0.8751
Si 0.0000 0.5000 0.1249
Tc 0.5000 0.5000 0.5000
```

Output
For the density of states at the Fermi level, the calculation gives 5.9 states/eV per cell. The size of the total moment comes out at 0.55 μB per formula unit. The value obtained for the formation energy from raw total energies is -0.65 eV/atom. The volume is 14.93 Å³ per atom.

Record 8
Compound: La2TmAgC
Source: Alexandria
Functional: PBE
Structure: optimized geometry Values from VASP.

```
&SYSTEM
  ibrav = 0, nat = 5, ntyp = 4
/
ATOMIC_SPECIES
La 138.91 La.upf
Tm 168.93 Tm.upf
Ag 107.87 Ag.upf
C 12.01 C.upf
CELL_PARAMETERS angstrom
5.2581 0.0000 0.0000
0.0000 5.2580 0.0000
0.0000 0.0002 4.7621
ATOMIC_POSITIONS crystal
La 0.0000 0.5000 0.9976
La 0.5000 0.0000 0.9978
Tm 0.0000 0.0000 0.4983
Ag 0.5000 0.5000 0.5005
C 0.0000 0.0000 0.0058
```

Output
For the density of states at the Fermi level, the calculation gives 5.3 states/eV per cell. The size of the total moment comes out at 0.00 μB per formula unit. The volume is 26.33 Å³ per atom. Its energy of formation from the pure elements is -0.12 eV per atom.

Record 9
Compound: SrAc2TlO5
Source: Alexandria
Functional: PBE
Structure: optimized geometry Values from VASP.

```
&SYSTEM
  ibrav = 0, nat = 18, ntyp = 4
/
ATOMIC_SPECIES
Sr 87.62 Sr.upf
Ac 227.00 Ac.upf
Tl 204.38 Tl.upf
O 16.00 O.upf
CELL_PARAMETERS angstrom
-0.4582 -3.9374 5.2237
0.7840 -5.7253 -4.2467
7.1108 0.3278 0.8708
ATOMIC_POSITIONS crystal
Sr 0.0000 0.5000 0.5000
Sr 0.0000 0.0000 0.0000
Ac 0.5000 0.6722 0.1722
Ac 0.5000 0.1722 0.3278
Ac 0.5000 0.8278 0.6722
Ac 0.5000 0.3278 0.8278
Tl 0.0000 0.0000 0.5000
Tl 0.0000 0.5000 0.0000
O 0.5000 0.5000 0.5000
O 0.5000 0.0000 0.0000
O 0.2521 0.1592 0.6592
O 0.2521 0.8408 0.3408
O 0.2521 0.3408 0.1592
O 0.2521 0.6592 0.8408
O 0.7479 0.1592 0.6592
O 0.7479 0.6592 0.8408
O 0.7479 0.8408 0.3408
O 0.7479 0.3408 0.1592
```

Output
For the density of states at the Fermi level, the calculation gives 6.7 states/eV per cell. The size of the total moment comes out at 0.74 μB per formula unit. The value obtained for the formation energy from raw total energies is -2.28 eV/atom. The volume is 18.74 Å³ per atom.

Record 10
Compound: Er2PS
Source: Alexandria
Functional: PBE
Structure: optimized geometry Values from VASP.

```
&SYSTEM
  ibrav = 0, nat = 4, ntyp = 3
/
ATOMIC_SPECIES
P 30.97 P.upf
S 32.06 S.upf
Er 167.26 Er.upf
CELL_PARAMETERS angstrom
-0.9435 -3.6051 -1.2128
2.3886 -1.9383 -2.4280
3.5723 -4.3519 3.8258
ATOMIC_POSITIONS crystal
P 0.0000 0.0000 0.0000
S 0.5000 0.5000 0.5000
Er 0.7469 0.7469 0.7594
Er 0.2531 0.2531 0.2406
```

Output
For the density of states at the Fermi level, the calculation gives 1.5 states/eV per cell. The size of the total moment comes out at 0.00 μB per formula unit. Its polymorph energy (0 for the lowest one) is 3.5 meV per atom. The value obtained for the formation energy from raw total energies is -1.85 eV/atom. The volume is 21.35 Å³ per atom.

Record 11
Compound: GaPdN2O
Source: Alexandria
Functional: PBE
Structure: optimized geometry Values from VASP.

```
&SYSTEM
  ibrav = 0, nat = 5, ntyp = 4
/
ATOMIC_SPECIES
O 16.00 O.upf
Ga 69.72 Ga.upf
Pd 106.42 Pd.upf
N 14.01 N.upf
CELL_PARAMETERS angstrom
-2.0803 -3.1582 1.1054
2.2845 -2.2916 -2.2479
2.5797 -0.5762 3.2090
ATOMIC_POSITIONS crystal
O 0.0000 0.0000 0.5000
Ga 0.5000 0.5000 0.5000
Pd 0.0000 0.0000 0.0000
N 0.0000 0.5000 0.0000
N 0.5000 0.0000 0.0000
```

Output
For the density of states at the Fermi level, the calculation gives 2.0 states/eV per cell. The size of the total moment comes out at 2.26 μB per formula unit. The value obtained for the formation energy from raw total energies is 1.21 eV/atom. The volume is 12.91 Å³ per atom.

Repeat the third record exactly.
Compound: CdBi2PtW
Source: Alexandria
Functional: PBE
Structure: optimized geometry Values from VASP.

```
&SYSTEM
  ibrav = 0, nat = 5, ntyp = 4
/
ATOMIC_SPECIES
W 183.84 W.upf
Bi 208.98 Bi.upf
Pt 195.08 Pt.upf
Cd 112.41 Cd.upf
CELL_PARAMETERS angstrom
-3.2640 -3.4735 -2.4941
-1.3829 -1.8716 4.4162
-4.0081 3.5786 0.2615
ATOMIC_POSITIONS crystal
W 0.0000 0.0000 0.0000
Bi 0.0000 0.0000 0.5000
Bi 0.5000 0.0000 0.0000
Pt 0.0000 0.5000 0.0000
Cd 0.5000 0.5000 0.5000
```

Output
For the density of states at the Fermi level, the calculation gives 4.0 states/eV per cell. The size of the total moment comes out at 0.00 μB per formula unit. The volume is 28.89 Å³ per atom. Its energy of formation from the pure elements is 0.80 eV per atom.